The following is a PBE-GGA calculation of an optimized crystal structure of Pm9YIn2, from the Alexandria database.

Cell lengths 4.9801, 4.9801, 15.2799 Å; angles 90.00, 90.00, 90.00 degrees
Closest atoms and distances in Å follow each position.
Fractional coordinates of all 12 atoms:
Pm 0.5000 0.5000 0.3376  8 Pm 3.52-3.53, 4 In 3.52
Pm 0.5000 0.0000 0.1737  8 Pm 3.52-3.64, 2 In 3.55, 2 Y 3.64
Pm 0.0000 0.5000 0.1737  8 Pm 3.52-3.64, 2 In 3.55, 2 Y 3.64
Y 0.0000 0.0000 0.0000  12 Pm 3.52-3.64
Pm 0.0000 0.5000 0.5000  4 In 3.50, 8 Pm 3.52
Pm 0.5000 0.5000 0.0000  4 Y 3.52, 8 Pm 3.64
Pm 0.5000 0.0000 0.5000  4 In 3.50, 8 Pm 3.52
Pm 0.5000 0.5000 0.6624  8 Pm 3.52-3.53, 4 In 3.52
Pm 0.0000 0.5000 0.8262  8 Pm 3.52-3.64, 2 In 3.55, 2 Y 3.64
In 0.0000 0.0000 0.3392  12 Pm 3.50-3.55
Pm 0.5000 0.0000 0.8262  8 Pm 3.52-3.64, 2 In 3.55, 2 Y 3.64
In 0.0000 0.0000 0.6608  12 Pm 3.50-3.55

Computed properties:
Mass density (g cm⁻³): 7.1
VASP energy (eV/atom): -4.73
Formation energy (eV/atom): -0.172
Magnetization (μB per cell): 0.00
Fermi-level density of states (states/eV per atom): 1.255

---

The following is a PBE-GGA calculation of an optimized crystal structure of Pm3YIn2, from the Alexandria database.

Cell lengths 5.3037, 6.8353, 10.0093 Å; angles 90.00, 90.00, 90.00 degrees
Closest atoms and distances in Å follow each position.
Fractional coordinates of all 12 atoms:
Pm 0.5000 0.1940 0.8199  5 In 3.25-3.56, 2 Pm 3.55, 1 Y 3.63
Pm 0.0000 0.9677 0.0365  5 In 3.32-3.66, 5 Pm 3.49-3.70
Pm 0.0000 0.4677 0.9635  5 In 3.32-3.66, 5 Pm 3.49-3.70
Pm 0.0000 0.8073 0.6752  5 In 3.19-3.56, 2 Y 3.54
Pm 0.0000 0.3073 0.3248  5 In 3.19-3.56, 2 Y 3.54
Pm 0.5000 0.6940 0.1801  5 In 3.25-3.56, 2 Pm 3.55, 1 Y 3.63
Y 0.5000 0.5296 0.5386  5 In 3.29-3.67, 2 Y 3.50, 3 Pm 3.54-3.63
Y 0.5000 0.0296 0.4614  5 In 3.29-3.67, 2 Y 3.50, 3 Pm 3.54-3.63
In 0.5000 0.2126 0.1465  7 Pm 3.26-3.56, 1 Y 3.39
In 0.0000 0.2888 0.6434  6 Pm 3.19-3.56, 2 Y 3.29
In 0.5000 0.7126 0.8535  7 Pm 3.26-3.56, 1 Y 3.39
In 0.0000 0.7888 0.3566  6 Pm 3.19-3.56, 2 Y 3.29

Computed properties:
Mass density (g cm⁻³): 6.9
VASP energy (eV/atom): -4.73
Formation energy (eV/atom): -0.362
Magnetization (μB per cell): 0.00
Fermi-level density of states (states/eV per atom): 1.030

---

The following is a PBE-GGA calculation of an optimized crystal structure of Pm8Y5In, from the Alexandria database.

Cell lengths 8.7397, 8.5216, 8.7397 Å; angles 116.19, 117.54, 96.32 degrees
Closest atoms and distances in Å follow each position.
Fractional coordinates of all 14 atoms:
Pm 0.1227 0.6965 0.4742  1 In 3.37, 2 Y 3.58-3.66, 5 Pm 3.58-3.72
Pm 0.8942 0.5803 0.9508  3 Y 3.29-3.56, 2 Pm 3.61-3.64
Y 0.2504 0.9224 0.0061  1 In 3.29, 4 Pm 3.32-3.66, 3 Y 3.35-3.57
Y 0.7869 0.7732 0.6703  6 Pm 3.24-3.58, 3 Y 3.34-3.51
In 0.2503 0.5000 0.7503  6 Pm 3.23-3.41, 2 Y 3.29
Pm 0.0622 0.1273 0.7157  3 Pm 3.23-3.58, 1 In 3.23, 4 Y 3.32-3.59
Pm 0.5090 0.2749 0.9305  2 Pm 3.19-3.23, 2 Y 3.24-3.40, 1 In 3.41
Pm 0.7777 0.3035 0.4262  1 In 3.37, 2 Y 3.58-3.66, 5 Pm 3.58-3.72
Y 0.8971 0.2268 0.0136  6 Pm 3.24-3.58, 3 Y 3.34-3.51
Pm 0.3705 0.4197 0.3139  3 Y 3.29-3.56, 2 Pm 3.61-3.64
Pm 0.6556 0.7251 0.2341  2 Pm 3.19-3.23, 2 Y 3.24-3.40, 1 In 3.41
Y 0.0837 0.0776 0.3280  1 In 3.29, 4 Pm 3.32-3.66, 3 Y 3.35-3.57
Pm 0.5884 0.8727 0.9349  3 Pm 3.23-3.58, 1 In 3.23, 4 Y 3.32-3.59
Y 0.5014 0.0000 0.5014  2 Pm 3.40, 4 Y 3.51-3.52

Computed properties:
Mass density (g cm⁻³): 6.0
VASP energy (eV/atom): -5.11
Formation energy (eV/atom): 0.110
Magnetization (μB per cell): 0.00
Fermi-level density of states (states/eV per atom): 1.371

---

> What is the VASP energy in the first record?

-4.73 eV/atom

---

> What is the formation energy in the third record?

0.110 eV/atom